Entry 1:
This record from Alexandria via LeMat-Bulk describes a relaxed Pm4DyIn5 crystal. The functional is GGA-PBE.

```
10
Lattice="3.828 0.000 0.000 0.000 3.828 0.000 0.000 0.000 19.189" Properties=species:S:1:pos:R:3 pbc="T T T"
In 1.914 1.914 17.383
In 1.914 1.914 9.594
In 1.914 1.914 5.709
In 1.914 1.914 1.806
In 1.914 1.914 13.480
Pm 0.000 0.000 7.653
Pm 0.000 0.000 11.536
Pm 0.000 0.000 3.762
Pm 0.000 0.000 15.427
Dy 0.000 0.000 0.000
```

Values from the calculation:
Crystal system: tetragonal
Density of states at the Fermi level (states/eV per cell): 5.5
DFT formation energy (eV per formula unit): -4.916

---

Entry 2:
This record from Alexandria via LeMat-Bulk describes a relaxed PmDy4In crystal. The functional is GGA-PBE.

```
6
Lattice="-0.668 -3.012 1.827 2.658 -1.651 -1.752 9.215 4.095 10.121" Properties=species:S:1:pos:R:3 pbc="T T T"
Dy 5.957 2.647 6.543
Dy 2.638 -1.602 1.842
Dy 3.257 1.447 3.577
Dy 8.566 1.033 8.353
Pm 0.000 0.000 0.000
In 5.602 -0.284 5.098
```

Values from the calculation:
Crystal system: tetragonal
Density of states at the Fermi level (states/eV per cell): 6.9
DFT formation energy (eV per formula unit): -0.888

---

Entry 3:
This record from Alexandria via LeMat-Bulk describes a relaxed Pm9DyIn2 crystal. The functional is GGA-PBE.

```
12
Lattice="4.979 0.000 0.000 0.000 4.979 0.000 0.000 0.000 15.256" Properties=species:S:1:pos:R:3 pbc="T T T"
In 0.000 0.000 5.168
In 0.000 0.000 10.088
Pm 0.000 2.489 12.617
Pm 2.489 0.000 2.639
Pm 2.489 2.489 0.000
Pm 2.489 0.000 12.617
Pm 2.489 2.489 10.111
Pm 2.489 2.489 5.145
Pm 0.000 2.489 7.628
Pm 0.000 2.489 2.639
Pm 2.489 0.000 7.628
Dy 0.000 0.000 0.000
```

Values from the calculation:
Crystal system: tetragonal
Density of states at the Fermi level (states/eV per cell): 14.7
DFT formation energy (eV per formula unit): -2.077

---

Entry 4:
This record from Alexandria via LeMat-Bulk describes a relaxed Pm2Dy2In7 crystal. The functional is GGA-PBE.

```
11
Lattice="6.821 -0.003 -0.598 0.004 7.710 0.003 -1.022 -0.003 6.771" Properties=species:S:1:pos:R:3 pbc="T T T"
Dy 4.721 3.851 5.025
Dy 1.082 3.854 1.151
In 2.394 5.380 6.472
In 2.899 2.350 3.089
In -0.507 5.382 3.385
In 3.409 2.325 -0.296
In 2.904 5.355 3.087
In 0.000 0.000 0.000
In 6.310 2.323 2.791
Pm 4.442 7.707 1.644
Pm 1.361 -0.002 4.532
```

Values from the calculation:
Crystal system: orthorhombic
Density of states at the Fermi level (states/eV per cell): 8.3
DFT formation energy (eV per formula unit): 0.047

---

Entry 5:
This record from Alexandria via LeMat-Bulk describes a relaxed Pm6DyIn2 crystal. The functional is GGA-PBE.

```
9
Lattice="-1.812 3.443 2.894 3.097 0.652 5.227 6.597 8.128 -1.476" Properties=species:S:1:pos:R:3 pbc="T T T"
Pm 4.171 3.089 2.999
Pm 5.512 6.148 4.262
Pm 6.669 8.673 1.983
Pm 3.712 9.133 3.646
Pm 1.214 3.550 4.662
Pm 2.371 6.074 2.383
Dy 0.000 0.000 0.000
In 6.755 9.234 5.431
In 1.128 2.988 1.214
```

Values from the calculation:
Crystal system: monoclinic
Density of states at the Fermi level (states/eV per cell): 10.7
DFT formation energy (eV per formula unit): -1.940

---

Entry 6:
This record from Alexandria via LeMat-Bulk describes a relaxed Pm3Dy2In crystal. The functional is GGA-PBE.

```
6
Lattice="-0.087 -4.294 -2.394 4.778 0.572 -1.200 -0.348 -3.898 7.002" Properties=species:S:1:pos:R:3 pbc="T T T"
Dy 3.051 -0.885 1.477
Dy 1.379 -2.440 4.326
In 0.000 0.000 0.000
Pm 2.345 -1.861 -1.797
Pm 3.699 -4.256 2.450
Pm 0.643 -3.363 0.958
```

Values from the calculation:
Crystal system: orthorhombic
Density of states at the Fermi level (states/eV per cell): 7.4
DFT formation energy (eV per formula unit): -0.942

---

Number 1: energy -4.221 eV per atom. Number 2: energy -4.464 eV per atom. Number 3: energy -4.576 eV per atom. Number 4: energy -3.439 eV per atom. Number 5: energy -4.503 eV per atom. Number 6: energy -4.523 eV per atom.